(1)
A plane-wave DFT calculation with PBE-GGA was carried out for a geometry-optimized CaPPd2 structure.

Computed properties:
- Total DFT energy (no corrections): -40.22 eV per cell
- DOS(E_F): 2.7 states/eV/cell
- Space-group type: I-42d, No. 122

POSCAR file:
```
CaPPd2
1.0
4.9368 0.0000 0.0000
0.0000 4.9368 0.0000
2.4684 2.4684 7.7635
P Ca Pd
2 2 4
Cartesian
2.4684 2.4684 0.0000
2.4684 4.9368 3.8817
0.0000 0.0000 0.0000
4.9368 2.4684 3.8817
2.7946 1.2342 1.9409
2.1422 3.7026 1.9409
3.7026 4.6107 5.8226
6.1710 5.2630 5.8226
```

(2)
A plane-wave DFT calculation with PBE-GGA was carried out for a geometry-optimized CoGeMoRu structure.

Computed properties:
- Total DFT energy (no corrections): -31.64 eV per cell
- DOS(E_F): 3.2 states/eV/cell
- Space-group type: F-43m, No. 216

POSCAR file:
```
CoGeMoRu
1.0
-0.0223 3.6278 2.2778
-3.7186 1.8670 1.0181
-1.3700 -0.0276 4.0586
Ru Mo Co Ge
1 1 1 1
Cartesian
-1.2777 1.3668 1.8386
-2.5554 2.7336 3.6772
-3.8332 4.1004 5.5158
0.0000 0.0000 0.0000
```

(3)
A plane-wave DFT calculation with PBE-GGA was carried out for a geometry-optimized BaNaLiBi structure.

Computed properties:
- Total DFT energy (no corrections): -10.63 eV per cell
- DOS(E_F): 2.5 states/eV/cell
- Space-group type: F-43m, No. 216

POSCAR file:
```
BaNaLiBi
1.0
-1.6245 2.8792 -4.6852
-4.9918 -1.2350 -2.5372
-4.3579 3.7158 0.2855
Na Li Bi Ba
1 1 1 1
Cartesian
-2.7435 1.3400 -1.7342
0.0000 0.0000 0.0000
-8.2306 4.0200 -5.2026
-5.4871 2.6800 -3.4684
```

(4)
A plane-wave DFT calculation with PBE-GGA was carried out for a geometry-optimized NdTmMnHg structure.

Computed properties:
- Total DFT energy (no corrections): -18.94 eV per cell
- DOS(E_F): 5.5 states/eV/cell
- Space-group type: F-43m, No. 216

POSCAR file:
```
NdTmMnHg
1.0
-3.8612 -1.3954 -3.1945
-0.3113 -4.8999 -1.7189
-3.7930 -3.1211 1.7125
Tm Nd Hg Mn
1 1 1 1
Cartesian
-1.9914 -2.3541 -0.8002
-5.9741 -7.0623 -2.4007
-3.9827 -4.7082 -1.6005
0.0000 0.0000 0.0000
```

(5)
A plane-wave DFT calculation with PBE-GGA was carried out for a geometry-optimized Li7Mg2In structure.

Computed properties:
- Total DFT energy (no corrections): -19.77 eV per cell
- DOS(E_F): 5.8 states/eV/cell
- Space-group type: Cmmm, No. 65

POSCAR file:
```
Li7Mg2In
1.0
-1.1280 1.7854 2.1346
-7.5748 -9.4519 3.9028
10.6256 6.9991 -0.2391
Li Mg In
7 2 1
Cartesian
-4.0904 -6.3024 3.1099
7.1412 3.8496 0.5539
1.9186 1.8859 1.5485
0.0042 -2.5533 4.2498
-1.5819 -1.2781 2.3451
3.5047 0.6107 3.4532
0.9614 -0.3337 2.8991
-2.7539 -3.6919 3.7446
4.6767 3.0245 2.0536
0.0000 0.0000 0.0000
```

(6)
A plane-wave DFT calculation with PBE-GGA was carried out for a geometry-optimized Rb5Sn4 structure.

Computed properties:
- Total DFT energy (no corrections): -22.12 eV per cell
- DOS(E_F): 4.6 states/eV/cell
- Space-group type: C2/m, No. 12

POSCAR file:
```
Rb5Sn4
1.0
-2.9844 0.9682 -5.0530
-6.5417 -2.8075 -0.1748
-6.4172 9.5557 2.1205
Rb Sn
5 4
Cartesian
-5.2076 5.2649 0.5839
-10.7357 2.4514 -3.6913
-11.9332 6.8905 -2.1335
-4.0101 0.8259 -0.9739
0.0000 0.0000 0.0000
-8.3515 7.5118 -0.6293
-7.5918 0.2045 -2.4781
-8.8614 4.8180 -0.8443
-7.0819 2.8984 -2.2631
```

(7)
A plane-wave DFT calculation with PBE-GGA was carried out for a geometry-optimized Te3As2 structure.

Computed properties:
- Total DFT energy (no corrections): -37.60 eV per cell
- DOS(E_F): 0.1 states/eV/cell
- Formation energy from raw total energies: -0.02 eV per atom
- Space-group type: C2/m, No. 12

POSCAR file:
```
Te3As2
1.0
-4.3742 5.1984 3.6946
-6.8391 2.0381 2.9798
1.8481 -3.5464 9.3071
As Te
4 6
Cartesian
-3.3983 1.1596 6.5923
-5.9669 2.5304 9.3892
-8.6468 5.2474 6.6179
-0.7184 -1.5574 9.3636
-10.2261 5.9262 9.0631
0.8609 -2.2362 6.9184
-1.8207 0.3838 4.5819
-7.5446 3.3062 11.3996
-6.9995 4.4434 4.4922
-2.3657 -0.7533 11.4894
```

(8)
A plane-wave DFT calculation with PBE-GGA was carried out for a geometry-optimized Tm3AlCo3 structure.

Computed properties:
- Total DFT energy (no corrections): -82.48 eV per cell
- DOS(E_F): 13.0 states/eV/cell
- Space-group type: Cmcm, No. 63

POSCAR file:
```
Tm3AlCo3
1.0
-0.4685 3.8396 -1.0144
-3.1350 -3.2309 -2.8993
-9.2972 1.1755 8.7432
Tm Al Co
6 2 6
Cartesian
-9.7099 0.5118 6.4218
-3.1908 1.2724 -1.5923
-7.0128 0.1708 3.8854
-5.8879 1.6134 0.9441
-10.2884 -0.4086 3.2052
-2.6122 2.1928 1.6243
-0.2342 1.9198 -0.5072
-4.8828 2.5075 3.8644
-11.4589 1.8933 4.5766
-1.4417 -0.1091 0.2529
-8.5635 1.5272 1.8537
-4.3372 0.2570 2.9759
-9.1712 2.0371 4.0644
-3.7294 -0.2529 0.7651
```

What did the sixth record say?
A plane-wave DFT calculation with PBE-GGA was carried out for a geometry-optimized Rb5Sn4 structure.

Computed properties:
- Total DFT energy (no corrections): -22.12 eV per cell
- DOS(E_F): 4.6 states/eV/cell
- Space-group type: C2/m, No. 12

POSCAR file:
```
Rb5Sn4
1.0
-2.9844 0.9682 -5.0530
-6.5417 -2.8075 -0.1748
-6.4172 9.5557 2.1205
Rb Sn
5 4
Cartesian
-5.2076 5.2649 0.5839
-10.7357 2.4514 -3.6913
-11.9332 6.8905 -2.1335
-4.0101 0.8259 -0.9739
0.0000 0.0000 0.0000
-8.3515 7.5118 -0.6293
-7.5918 0.2045 -2.4781
-8.8614 4.8180 -0.8443
-7.0819 2.8984 -2.2631
```

> The lowest DOS(E_F) belongs to which entry?

Te3As2